A geometry-optimized CoCuNi3 structure. Source: Alexandria, functional PBE.

a = 2.4967 Å, b = 2.4967 Å, c = 30.7429 Å
α = 90.00°, β = 90.00°, γ = 120.00°
Closest atoms and distances in Å follow each position.
Space group R3m (No. 160, hexagonal axes)
Unique sites:
Co: 0.0000 0.0000 0.0000 x3  6 Ni 2.47-2.48, 6 Co 2.50
Cu: 0.0000 0.0000 0.8006 x3  6 Cu 2.50, 6 Ni 2.53-2.55
Ni: 0.0000 0.0000 0.2017 x3  9 Ni 2.50, 3 Cu 2.53
Ni: 0.0000 0.0000 0.3989 x3  3 Co 2.48, 6 Ni 2.50, 3 Cu 2.55
Ni: 0.0000 0.0000 0.6013 x3  3 Co 2.47, 9 Ni 2.50

- D(E_F): 1.08 states/eV/atom
- Calculated formation energy: 7 meV/atom
- Distance to the lowest polymorph of the same formula: 0.00 eV per formula unit
- Spin magnetization: 10.56 Bohr magnetons per cell
- E: -5.7020 eV per atom